Record 1
AcEr6W after structural relaxation, computed with PBE.

```
AcEr6W
1.0
4.8852 2.8205 3.0270
-4.8852 2.8205 3.0270
0.0000 -5.6409 3.0270
Ac Er W
1 6 1
Cartesian
0.0000 0.0000 0.0000 Ac
-0.8525 -2.1218 2.9525 Er
-1.4112 1.7992 2.9525 Er
-2.2638 -0.3226 6.1284 Er
2.2638 0.3226 2.9525 Er
1.4112 -1.7992 6.1284 Er
0.8525 2.1218 6.1284 Er
0.0000 0.0000 4.5405 W
```

Results
Its space group is R-3 (148). For the magnetic moment, the calculation gives 0.1 μB per cell. The value obtained for the calculated formation energy is 6.3 kcal/mol of atoms.

Record 2
CdHg2Te2F2 after structural relaxation, computed with PBE.

```
CdHg2Te2F2
1.0
4.0519 0.0000 0.0000
0.0000 4.0519 0.0000
0.0000 0.0000 9.4825
Cd Hg Te F
1 2 2 2
Cartesian
0.0000 0.0000 0.0000 Cd
0.0000 2.0259 6.2171 Hg
2.0259 0.0000 3.2654 Hg
0.0000 2.0259 2.0148 Te
2.0259 0.0000 7.4677 Te
0.0000 0.0000 4.7412 F
2.0259 2.0259 4.7412 F
```

Results
Its space group is P-4m2 (115). The calculation puts the total energy at -2.27 eV/atom.